No. 1
# Er6TlBi3 (PBE-GGA, optimized geometry)
data_Er6TlBi3
_chemical_formula_sum 'Er24 Tl4 Bi12'
_symmetry_space_group_name_H-M 'C m c m'
_symmetry_Int_Tables_number 63
_symmetry_space_group_name_Hall '-C 2c 2'
_cell_length_a 11.790
_cell_length_b 11.628
_cell_length_c 8.491
_cell_angle_alpha 90.00
_cell_angle_beta 90.00
_cell_angle_gamma 90.00
loop_
_atom_site_label
_atom_site_type_symbol
_atom_site_fract_x
_atom_site_fract_y
_atom_site_fract_z
Er1 Er 0.000 0.161 0.004
Er2 Er 0.155 0.500 0.000
Er3 Er 0.246 0.254 0.250
Tl1 Tl 0.000 0.353 0.250
Bi1 Bi 0.000 0.355 0.750
Bi2 Bi 0.147 0.002 0.250
# * spin magnetization: 0.00 Bohr magnetons per cell

No. 2
# Er6Tl3Bi (PBE-GGA, optimized geometry)
data_Er6Tl3Bi
_chemical_formula_sum 'Er24 Tl12 Bi4'
_symmetry_space_group_name_H-M 'C m c 21'
_symmetry_Int_Tables_number 36
_cell_length_a 10.034
_cell_length_b 17.102
_cell_length_c 6.816
_cell_angle_alpha 90.00
_cell_angle_beta 90.00
_cell_angle_gamma 90.00
loop_
_symmetry_equiv_pos_as_xyz
'x,y,z'
'-x,-y,z+1/2'
'-x,y,z'
'x,-y,z+1/2'
'x+1/2,y+1/2,z'
'-x+1/2,-y+1/2,z+1/2'
'-x+1/2,y+1/2,z'
'x+1/2,-y+1/2,z+1/2'
loop_
_atom_site_label
_atom_site_type_symbol
_atom_site_fract_x
_atom_site_fract_y
_atom_site_fract_z
Er1 Er 0.000 0.005 0.000
Er2 Er 0.000 0.294 0.038
Er3 Er 0.187 0.266 0.489
Er4 Er 0.199 0.440 0.225
Tl1 Tl 0.000 0.420 0.597
Tl2 Tl 0.196 0.110 0.262
Bi1 Bi 0.000 0.155 0.741
# * spin magnetization: 0.00 Bohr magnetons per cell

no.,E_tot (eV/atom)
1,-4.686
2,-4.079